Record 1
{
  "formula": "LaMgCoPb",
  "functional": "PBE",
  "state": "relaxed",
  "lattice": [[0.000, 3.638, 3.638], [3.638, 0.000, 3.638], [3.638, 3.638, 0.000]],
  "species": ["La", "Mg", "Co", "Pb"],
  "fractional_positions": [[0.000, 0.000, 0.000], [0.500, 0.500, 0.500], [0.750, 0.750, 0.750], [0.250, 0.250, 0.250]],
  "e_above_lowest_polymorph_ev_per_atom": 0.050,
  "magnetic_moment_mub_per_cell": 1.4,
  "space_group": "F-43m (216)"
}


Record 2
{
  "formula": "LaMgCoPb",
  "functional": "PBE",
  "state": "relaxed",
  "lattice": [[0.000, 3.492, 3.492], [3.492, 0.000, 3.492], [3.492, 3.492, 0.000]],
  "species": ["La", "Mg", "Co", "Pb"],
  "fractional_positions": [[0.000, 0.000, 0.000], [0.750, 0.750, 0.750], [0.250, 0.250, 0.250], [0.500, 0.500, 0.500]],
  "e_above_lowest_polymorph_ev_per_atom": 0.000,
  "magnetic_moment_mub_per_cell": 0.0,
  "space_group": "F-43m (216)"
}


| no. | volume (Å³/cell) |
| --- | --- |
| 1 | 96.3 |
| 2 | 85.2 |